(1)
YPb3: optimized geometry, PBE.

```
4
Lattice="-1.625 5.438 0.902 -3.588 -1.500 -4.231 -2.443 -1.141 2.476" Properties=species:S:1:pos:R:3 pbc="T T T"
Pb -3.015 -1.320 -0.877
Pb -2.034 2.149 1.689
Pb -2.607 1.969 -1.665
Y 0.000 0.000 0.000
```

Summary:
The magnetization is 0.00 μB per formula unit.

(2)
Y2Pb: optimized geometry, PBE.

```
3
Lattice="-2.168 -1.788 -4.475 -0.700 -2.650 4.518 -3.126 2.027 0.704" Properties=species:S:1:pos:R:3 pbc="T T T"
Pb 0.000 0.000 0.000
Y -2.024 -1.822 1.708
Y -3.970 -0.589 -0.961
```

Summary:
The magnetization is 0.00 μB per formula unit.

(3)
YPb3: optimized geometry, PBE.

```
4
Lattice="3.601 0.000 0.000 -1.801 3.119 0.000 0.000 0.000 10.951" Properties=species:S:1:pos:R:3 pbc="T T T"
Pb 0.000 0.000 10.863
Pb 0.000 0.000 5.564
Pb 1.801 1.040 2.738
Y 1.801 1.040 8.213
```

Summary:
The magnetization is 0.00 μB per formula unit.

(4)
Y2Pb: optimized geometry, PBE.

```
6
Lattice="2.210 4.222 4.026 -6.196 -0.399 -0.610 1.843 -5.545 2.185" Properties=species:S:1:pos:R:3 pbc="T T T"
Y 0.082 2.426 3.554
Y -2.225 -4.148 2.047
Y 0.667 -1.409 2.355
Y -2.809 -0.312 3.245
Pb -0.996 0.956 0.854
Pb -2.989 2.868 2.562
```

Summary:
The magnetization is 1.53 μB per formula unit.

(5)
Y3Pb5: optimized geometry, PBE.

```
8
Lattice="-4.047 -1.338 -5.552 -1.728 -5.715 3.654 -3.558 2.369 2.022" Properties=species:S:1:pos:R:3 pbc="T T T"
Pb 0.000 0.000 0.000
Pb -0.864 -2.857 1.827
Pb -2.024 -0.669 -2.776
Pb -3.349 -0.734 0.495
Pb -5.984 -3.951 -0.371
Y -2.887 -3.527 -0.949
Y -5.316 -1.116 -2.517
Y -4.017 -3.569 2.642
```

Summary:
The magnetization is 0.00 μB per formula unit.

(6)
Y2Pb: optimized geometry, PBE.

```
9
Lattice="8.460 0.000 0.000 -4.230 7.327 0.000 0.000 0.000 4.366" Properties=species:S:1:pos:R:3 pbc="T T T"
Pb 0.000 4.885 0.000
Pb 4.230 2.442 0.000
Pb 0.000 0.000 2.183
Y 2.225 0.000 0.000
Y -1.112 1.927 0.000
Y 3.118 5.400 0.000
Y 5.056 0.000 2.183
Y -2.528 4.378 2.183
Y 1.702 2.949 2.183
```

Summary:
The magnetization is 1.26 μB per formula unit.

(7)
Y3Pb: optimized geometry, PBE.

```
4
Lattice="5.494 0.000 0.000 2.747 4.758 0.000 2.747 1.586 4.486" Properties=species:S:1:pos:R:3 pbc="T T T"
Pb 0.000 0.000 0.000
Y 2.747 1.586 1.121
Y 5.494 3.172 2.243
Y 8.241 4.758 3.364
```

Summary:
The magnetization is 1.14 μB per formula unit.

(8)
YPb3: optimized geometry, PBE.

```
8
Lattice="6.212 0.000 0.000 0.000 6.212 0.000 0.000 0.000 6.212" Properties=species:S:1:pos:R:3 pbc="T T T"
Y 0.000 0.000 0.000
Y 3.106 3.106 3.106
Pb 4.659 3.106 0.000
Pb 1.553 3.106 0.000
Pb 0.000 4.659 3.106
Pb 0.000 1.553 3.106
Pb 3.106 0.000 1.553
Pb 3.106 0.000 4.659
```

Summary:
The magnetization is 0.00 μB per formula unit.

no.,final energy (eV for the cell shown),formation enthalpy at 0 K (eV/f.u.)
1,-18.556,-0.97
2,-17.338,-0.70
3,-18.036,-0.45
4,-35.457,-1.09
5,-41.062,-3.13
6,-53.883,-1.32
7,-23.529,-0.43
8,-36.276,-0.55